Density functional theory data (PBE-GGA) for a relaxed structure of Gd2ErAl3NiAu2.

a b c (Å): 4.092 7.185 7.185
angles (deg): 119.96 90.00 90.00
Element x y z (fractional)
Gd1 0.000 0.201 0.799
Gd2 0.000 0.799 0.201
Er1 0.000 0.600 0.600
Al1 0.500 0.202 0.426
Al2 0.500 0.426 0.202
Al3 0.500 0.978 0.978
Ni1 0.000 0.205 0.205
Au1 0.500 0.536 0.863
Au2 0.500 0.863 0.536

Properties
Size of the total moment (μB per formula unit): 0.0
E_tot (eV/atom): -4.882



Density functional theory data (PBE-GGA) for a relaxed structure of Li2HfTl.

a b c (Å): 4.759 4.759 4.759
angles (deg): 60.00 60.00 60.00
Element x y z (fractional)
Li1 0.000 0.000 0.000
Li2 0.250 0.250 0.250
Hf1 0.750 0.750 0.750
Tl1 0.500 0.500 0.500

Properties
Size of the total moment (μB per formula unit): 0.1
E_tot (eV/atom): -3.916



Density functional theory data (PBE-GGA) for a relaxed structure of AcNpGe.

a b c (Å): 5.162 5.162 5.162
angles (deg): 60.00 60.00 60.00
Element x y z (fractional)
Ac1 0.000 0.000 0.000
Np1 0.500 0.500 0.500
Ge1 0.250 0.250 0.250

Properties
Size of the total moment (μB per formula unit): 5.9
Excess energy over the best structure of this formula in the dataset (meV/atom): 0.0